1.
Compound: NdYHg2
Source: Alexandria via LeMat-Bulk
Functional: PBE
Structure: relaxed

Structure (POSCAR):
```
NdYHg2
1.0
1.930 1.114 9.147
-1.930 1.114 9.147
0.000 -2.229 9.147
Nd Y Hg
1 1 2
direct
0.000 0.000 0.000
0.833 0.833 0.833
0.419 0.419 0.419
0.581 0.581 0.581
```

Results
N(E_F), states/eV per cell: 3.894
ΔE_f, eV/f.u.: -1.3
Raw total energy, eV per atom: -3.286
Polymorph energy (0 for the lowest one), eV/atom: 0.1618
V, Å³ per atom: 29.52
SG: No. 160



2.
Compound: NdY2Hg6
Source: Alexandria via LeMat-Bulk
Functional: PBE
Structure: relaxed

Structure (POSCAR):
```
NdY2Hg6
1.0
8.625 0.000 0.000
-4.312 7.469 0.000
0.000 0.000 3.483
Nd Y Hg
1 2 6
direct
0.000 0.000 0.000
0.333 0.667 0.000
0.667 0.333 0.000
0.000 0.335 0.500
0.000 0.665 0.500
0.335 0.000 0.500
0.335 0.335 0.500
0.665 0.000 0.500
0.665 0.665 0.500
```

Results
N(E_F), states/eV per cell: 6.126
ΔE_f, eV/f.u.: -3.7
Raw total energy, eV per atom: -2.578
V, Å³ per atom: 24.93
SG: No. 191



3.
Compound: NdY3Hg2
Source: Alexandria via LeMat-Bulk
Functional: PBE
Structure: relaxed

Structure (POSCAR):
```
NdY3Hg2
1.0
5.137 0.000 0.000
0.000 9.355 0.000
0.000 0.000 7.188
Nd Y Hg
2 6 4
direct
0.000 0.058 0.000
0.000 0.942 0.500
0.000 0.328 0.652
0.000 0.672 0.152
0.500 0.178 0.318
0.500 0.442 0.969
0.500 0.558 0.469
0.500 0.822 0.818
0.000 0.354 0.226
0.000 0.646 0.726
0.500 0.150 0.743
0.500 0.850 0.243
```

Results
N(E_F), states/eV per cell: 6.130
ΔE_f, eV/f.u.: -2.2
Raw total energy, eV per atom: -4.496
Polymorph energy (0 for the lowest one), eV/atom: 0.0000
V, Å³ per atom: 28.78
SG: No. 26



4.
Compound: NdYHg4
Source: Alexandria via LeMat-Bulk
Functional: PBE
Structure: relaxed

Structure (POSCAR):
```
NdYHg4
1.0
5.390 -1.956 0.000
5.390 1.956 0.000
-2.798 0.000 7.390
Nd Y Hg
1 1 4
direct
0.000 0.000 0.000
0.000 0.000 0.500
0.331 0.331 0.658
0.332 0.332 0.175
0.668 0.668 0.825
0.669 0.669 0.342
```

Results
N(E_F), states/eV per cell: 4.121
ΔE_f, eV/f.u.: -2.1
Raw total energy, eV per atom: -2.429
Polymorph energy (0 for the lowest one), eV/atom: 0.0000
V, Å³ per atom: 25.97
SG: No. 12



5.
Compound: Nd2YHg4
Source: Alexandria via LeMat-Bulk
Functional: PBE
Structure: relaxed

Structure (POSCAR):
```
Nd2YHg4
1.0
-2.826 2.826 7.841
2.826 -2.826 7.841
2.826 2.826 -7.841
Nd Y Hg
2 1 4
direct
0.106 0.106 0.000
0.894 0.894 0.000
0.500 0.500 0.000
0.000 0.500 0.500
0.307 0.307 0.000
0.500 0.000 0.500
0.693 0.693 0.000
```

Results
N(E_F), states/eV per cell: 7.071
ΔE_f, eV/f.u.: -0.3
Raw total energy, eV per atom: -2.494
Polymorph energy (0 for the lowest one), eV/atom: 0.3179
V, Å³ per atom: 35.78
SG: No. 139



6.
Compound: Nd5Y4Hg4
Source: Alexandria via LeMat-Bulk
Functional: PBE
Structure: relaxed

Structure (POSCAR):
```
Nd5Y4Hg4
1.0
-6.135 6.135 2.613
6.135 -6.135 2.613
6.135 6.135 -2.613
Nd Y Hg
5 4 4
direct
0.000 0.000 0.000
0.315 0.382 0.697
0.382 0.685 0.067
0.618 0.315 0.933
0.685 0.618 0.303
0.097 0.605 0.702
0.395 0.097 0.492
0.605 0.903 0.508
0.903 0.395 0.298
0.095 0.242 0.336
0.242 0.905 0.147
0.758 0.095 0.853
0.905 0.758 0.664
```

Results
N(E_F), states/eV per cell: 10.716
ΔE_f, eV/f.u.: -4.1
Raw total energy, eV per atom: -4.234
V, Å³ per atom: 30.27
SG: No. 87



7.
Compound: Nd2YHg2
Source: Alexandria via LeMat-Bulk
Functional: PBE
Structure: relaxed

Structure (POSCAR):
```
Nd2YHg2
1.0
-2.435 3.543 4.260
2.435 -3.543 4.260
2.435 3.543 -4.260
Nd Y Hg
2 1 2
direct
0.193 0.193 0.000
0.807 0.807 0.000
0.500 0.000 0.500
0.219 0.500 0.719
0.781 0.500 0.281
```

Results
N(E_F), states/eV per cell: 5.222
ΔE_f, eV/f.u.: -1.7
Raw total energy, eV per atom: -3.659
Polymorph energy (0 for the lowest one), eV/atom: 0.0419
V, Å³ per atom: 29.41
SG: No. 71



8.
Compound: Nd3YHg12
Source: Alexandria via LeMat-Bulk
Functional: PBE
Structure: relaxed

Structure (POSCAR):
```
Nd3YHg12
1.0
4.647 0.000 0.000
0.000 4.647 0.000
0.000 0.000 19.045
Nd Y Hg
3 1 12
direct
0.000 0.000 0.000
0.000 0.000 0.253
0.000 0.000 0.747
0.000 0.000 0.500
0.000 0.500 0.126
0.000 0.500 0.378
0.000 0.500 0.622
0.000 0.500 0.874
0.500 0.000 0.126
0.500 0.000 0.378
0.500 0.000 0.622
0.500 0.000 0.874
0.500 0.500 0.000
0.500 0.500 0.253
0.500 0.500 0.500
0.500 0.500 0.747
```

Results
N(E_F), states/eV per cell: 13.876
ΔE_f, eV/f.u.: -5.5
Raw total energy, eV per atom: -1.869
V, Å³ per atom: 25.70
SG: No. 123



9.
Compound: NdY2Hg2
Source: Alexandria via LeMat-Bulk
Functional: PBE
Structure: relaxed

Structure (POSCAR):
```
NdY2Hg2
1.0
8.631 0.000 0.000
0.000 8.631 0.000
0.000 0.000 3.811
Nd Y Hg
2 4 4
direct
0.000 0.000 0.000
0.500 0.500 0.000
0.165 0.335 0.500
0.335 0.835 0.500
0.665 0.165 0.500
0.835 0.665 0.500
0.132 0.632 0.000
0.368 0.132 0.000
0.632 0.868 0.000
0.868 0.368 0.000
```

Results
N(E_F), states/eV per cell: 8.636
ΔE_f, eV/f.u.: -2.0
Raw total energy, eV per atom: -4.053
V, Å³ per atom: 28.39
SG: No. 127



10.
Compound: Nd7YHg2
Source: Alexandria via LeMat-Bulk
Functional: PBE
Structure: relaxed

Structure (POSCAR):
```
Nd7YHg2
1.0
4.610 -7.998 0.000
4.610 7.998 0.000
0.000 0.000 5.375
Nd Y Hg
7 1 2
direct
0.000 0.000 0.000
0.198 0.437 0.000
0.270 0.730 0.500
0.437 0.198 0.000
0.563 0.802 0.000
0.730 0.270 0.500
0.802 0.563 0.000
0.500 0.500 0.500
0.194 0.806 0.000
0.806 0.194 0.000
```

Results
N(E_F), states/eV per cell: 19.731
ΔE_f, eV/f.u.: 2.6
Raw total energy, eV per atom: -3.787
V, Å³ per atom: 39.64
SG: No. 65



11.
Compound: Nd4YHg3
Source: Alexandria via LeMat-Bulk
Functional: PBE
Structure: relaxed

Structure (POSCAR):
```
Nd4YHg3
1.0
11.156 0.000 0.000
0.000 7.163 0.000
0.000 0.000 5.779
Nd Y Hg
8 2 6
direct
0.000 0.243 0.000
0.000 0.757 0.000
0.250 0.239 0.399
0.250 0.761 0.399
0.500 0.243 0.000
0.500 0.757 0.000
0.750 0.239 0.601
0.750 0.761 0.601
0.000 0.500 0.500
0.500 0.500 0.500
0.000 0.000 0.500
0.250 0.000 0.892
0.250 0.500 0.873
0.500 0.000 0.500
0.750 0.000 0.108
0.750 0.500 0.127
```

Results
N(E_F), states/eV per cell: 15.687
ΔE_f, eV/f.u.: -2.2
Raw total energy, eV per atom: -3.584
V, Å³ per atom: 28.86
SG: No. 51



12.
Compound: Nd6YHg2
Source: Alexandria via LeMat-Bulk
Functional: PBE
Structure: relaxed

Structure (POSCAR):
```
Nd6YHg2
1.0
6.506 -1.900 0.000
6.506 1.900 0.000
-3.973 0.000 11.588
Nd Y Hg
6 1 2
direct
0.021 0.021 0.337
0.309 0.309 0.409
0.313 0.313 0.124
0.687 0.687 0.876
0.691 0.691 0.591
0.979 0.979 0.663
0.000 0.000 0.000
0.363 0.363 0.805
0.637 0.637 0.195
```

Results
N(E_F), states/eV per cell: 9.429
ΔE_f, eV/f.u.: -1.9
Raw total energy, eV per atom: -4.180
V, Å³ per atom: 31.83
SG: No. 12



Mass density across the listed records, respectively: 8.92, 11.29, 7.81, 11.03, 7.82, 7.93, 8.79, 11.83, 8.46, 6.28, 9.12, 7.86 g cm⁻³.